--- w ---
DFT (PBE-GGA) results for TlInSn6 after structural relaxation.

Properties
As for the crystal system: monoclinic. As for the spin magnetization: 0.0 μB per formula unit. Its space group is No. 12.

Unit cell a=6.355 b=7.197 c=6.323 alpha=116.11 beta=89.88 gamma=116.25
Fractional positions:
1 Tl 0.000 0.000 0.500
2 In 0.000 0.000 0.000
3 Sn 0.500 0.000 0.250
4 Sn 0.507 0.513 0.756
5 Sn 0.500 0.000 0.750
6 Sn 0.006 0.513 0.756
7 Sn 0.493 0.487 0.244
8 Sn 0.994 0.487 0.244


--- x ---
DFT (PBE-GGA) results for TlInSn6 after structural relaxation.

Properties
As for the crystal system: orthorhombic. As for the spin magnetization: 0.0 μB per formula unit. Its space group is No. 38.

Unit cell a=5.338 b=6.927 c=6.927 alpha=118.76 beta=90.00 gamma=90.00
Fractional positions:
1 Tl 0.500 0.390 0.610
2 In 0.000 0.110 0.890
3 Sn 0.000 0.052 0.387
4 Sn 0.000 0.613 0.948
5 Sn 0.000 0.558 0.442
6 Sn 0.500 0.440 0.114
7 Sn 0.500 0.886 0.560
8 Sn 0.500 0.950 0.050


Most stable: x. Least stable: w.